This record from Alexandria describes a relaxed SrIn2Sn4 crystal. The functional is PBE.

```
14
Lattice="9.8156 0.0000 0.0000 0.0000 8.5363 -3.9500 0.0000 -2.1907 6.4646" Properties=species:S:1:pos:R:3 pbc="T T T"
In 4.9078 5.7191 1.1606
In 0.0000 1.4509 3.1356
In 4.9078 0.6265 1.3540
In 0.0000 4.8947 -0.6210
Sn 7.3617 4.0679 0.8431
Sn 7.7397 5.8068 -2.6870
Sn 2.4539 2.2778 1.6715
Sn 7.3617 -0.2003 2.8181
Sn 2.8319 6.9977 -3.2380
Sn 2.0759 2.7295 -1.2630
Sn 2.4539 6.5459 -0.3035
Sn 6.9837 1.5386 -0.7120
Sr 0.0000 0.0000 0.0000
Sr 4.9078 4.2682 -1.9750
```

The total energy is -47.77 eV for the cell shown. The value obtained for the formation enthalpy at 0 K is -102 meV/atom. The theoretical density comes out at 5.8 g/cm³.